# 1
The following is a DFT calculation (PBE) of AcTlHgSe3 after structural relaxation.

abc: 9.2098 4.5176 10.2151
angles: 90.00 101.61 90.00
Last column: nearest neighbours and their distance in Å.
Fractional coordinates of all 12 atoms:
Ac 0.1698 0.2500 0.1545  6 Se 3.10-3.26
Ac 0.8302 0.7500 0.8455  6 Se 3.10-3.26
Tl 0.3051 0.7500 0.7952  5 Se 3.30-3.52
Tl 0.6949 0.2500 0.2048  5 Se 3.30-3.52
Hg 0.4089 0.7500 0.3900  4 Se 2.68-2.85
Hg 0.5911 0.2500 0.6100  4 Se 2.68-2.85
Se 0.0615 0.2500 0.8467  3 Ac 3.10, 2 Tl 3.30
Se 0.2869 0.2500 0.4780  3 Hg 2.75-2.85
Se 0.3969 0.7500 0.1257  1 Hg 2.68
Se 0.6031 0.2500 0.8743  1 Hg 2.68
Se 0.7131 0.7500 0.5220  3 Hg 2.75-2.85
Se 0.9385 0.7500 0.1533  3 Ac 3.10, 2 Tl 3.30

magnetic moment	0.00	Bohr magnetons per cell
ΔE_f (raw)	-979	meV/atom

=====

# 2
The following is a DFT calculation (PBE) of Ac2TmHgSe5 after structural relaxation.

abc: 9.3417 9.3417 13.0232
angles: 90.00 90.00 153.76
Last column: nearest neighbours and their distance in Å.
Fractional coordinates of all 18 atoms:
Ac 0.1187 0.8813 0.5000  8 Se 3.14-3.36
Ac 0.1335 0.8665 0.1234  8 Se 3.21-3.39
Ac 0.8665 0.1335 0.6234  8 Se 3.21-3.39
Ac 0.8813 0.1187 0.0000  8 Se 3.14-3.36
Tm 0.1980 0.8020 0.8231  6 Se 2.82-2.90
Tm 0.8020 0.1980 0.3231  6 Se 2.82-2.90
Hg 0.4627 0.5373 0.2705  3 Se 2.62-2.65
Hg 0.5373 0.4627 0.7705  3 Se 2.62-2.65
Se 0.0482 0.9518 0.8917  2 Hg 2.65, 1 Tm 2.87
Se 0.2901 0.7099 0.4723  2 Tm 2.88, 3 Ac 3.14-3.21
Se 0.3072 0.6928 0.1708  2 Tm 2.90, 1 Hg 3.11, 1 Ac 3.22
Se 0.3531 0.6469 0.8150  1 Tm 2.82
Se 0.4948 0.5052 0.5782  1 Hg 2.62
Se 0.5052 0.4948 0.0782  1 Hg 2.62
Se 0.6469 0.3531 0.3150  1 Tm 2.82
Se 0.6928 0.3072 0.6708  2 Tm 2.90, 1 Hg 3.11, 1 Ac 3.22
Se 0.7099 0.2901 0.9723  2 Tm 2.88, 3 Ac 3.14-3.21
Se 0.9518 0.0482 0.3917  2 Hg 2.65, 1 Tm 2.87

magnetic moment	0.00	Bohr magnetons per cell
ΔE_f (raw)	-1559	meV/atom

=====

# 3
The following is a DFT calculation (PBE) of Ac2SiHg3 after structural relaxation.

abc: 4.3137 4.7578 8.4630
angles: 90.00 90.00 90.00
Last column: nearest neighbours and their distance in Å.
Fractional coordinates of all 6 atoms:
Ac 0.0000 0.0000 0.0000  2 Si 3.41, 10 Hg 3.45-3.80
Ac 0.0000 0.5000 0.4579  8 Hg 3.38-3.68, 4 Si 3.44
Si 0.5000 0.0000 0.3123  3 Hg 2.69-2.75
Hg 0.5000 0.0000 0.6300  1 Si 2.69, 2 Hg 2.82
Hg 0.5000 0.5000 0.1504  2 Si 2.75, 1 Hg 2.88
Hg 0.5000 0.5000 0.8098  3 Hg 2.82-2.88

magnetic moment	0.00	Bohr magnetons per cell
E above lowest polymorph	8	meV/atom
ΔE_f (raw)	-427	meV/atom

=====

# 4
The following is a DFT calculation (PBE) of Ac6SiHg5 after structural relaxation.

abc: 9.0332 9.0332 7.9812
angles: 90.00 90.00 143.55
Last column: nearest neighbours and their distance in Å.
Fractional coordinates of all 12 atoms:
Ac 0.0000 0.0000 0.2318  2 Si 3.38, 6 Hg 3.54-3.59, 1 Ac 3.70
Ac 0.0000 0.0000 0.7682  2 Si 3.38, 6 Hg 3.54-3.59, 1 Ac 3.70
Ac 0.3415 0.6585 0.2427  1 Si 3.34, 7 Hg 3.41-3.62
Ac 0.3415 0.6585 0.7573  1 Si 3.34, 7 Hg 3.41-3.62
Ac 0.6585 0.3415 0.2427  1 Si 3.34, 7 Hg 3.41-3.62
Ac 0.6585 0.3415 0.7573  1 Si 3.34, 7 Hg 3.41-3.62
Si 0.5000 0.5000 0.0000  8 Ac 3.34-3.38
Hg 0.1679 0.8321 0.5000  8 Ac 3.50-3.62
Hg 0.1777 0.8223 0.0000  8 Ac 3.41-3.57, 2 Hg 3.76
Hg 0.5000 0.5000 0.5000  8 Ac 3.41-3.54
Hg 0.8223 0.1777 0.0000  8 Ac 3.41-3.57, 2 Hg 3.76
Hg 0.8321 0.1679 0.5000  8 Ac 3.50-3.62

magnetic moment	0.00	Bohr magnetons per cell
ΔE_f (raw)	-463	meV/atom

=====

# 5
The following is a DFT calculation (PBE) of Ac4Si2Hg after structural relaxation.

abc: 8.4606 8.4606 8.4606
angles: 109.83 109.83 108.76
Last column: nearest neighbours and their distance in Å.
Fractional coordinates of all 14 atoms:
Ac 0.1381 0.7424 0.7491  3 Si 3.17-3.46, 1 Hg 3.29
Ac 0.1389 0.2433 0.7509  3 Si 3.17-3.46, 1 Hg 3.29
Ac 0.2576 0.0067 0.3957  3 Si 3.17-3.46, 1 Hg 3.29
Ac 0.4924 0.3881 0.2491  3 Si 3.17-3.46, 1 Hg 3.29
Ac 0.6111 0.8619 0.6043  3 Si 3.17-3.46, 1 Hg 3.29
Ac 0.6119 0.8611 0.1043  3 Si 3.17-3.46, 1 Hg 3.29
Ac 0.7567 0.5076 0.8957  3 Si 3.17-3.46, 1 Hg 3.29
Ac 0.9933 0.3889 0.2509  3 Si 3.17-3.46, 1 Hg 3.29
Si 0.2492 0.6250 0.1242  6 Ac 3.17-3.46
Si 0.3750 0.4992 0.6242  6 Ac 3.17-3.46
Si 0.5008 0.1250 0.8758  6 Ac 3.17-3.46
Si 0.8750 0.7508 0.3758  6 Ac 3.17-3.46
Hg 0.0000 0.0000 0.0000  8 Ac 3.29-3.62
Hg 0.7500 0.2500 0.5000  8 Ac 3.29-3.62

magnetic moment	0.00	Bohr magnetons per cell
ΔE_f (raw)	-431	meV/atom

=====

# 6
The following is a DFT calculation (PBE) of Ac4Si2Hg5 after structural relaxation.

abc: 8.0605 4.4189 9.2874
angles: 90.00 90.99 90.00
Last column: nearest neighbours and their distance in Å.
Fractional coordinates of all 11 atoms:
Ac 0.2009 0.0000 0.3516  2 Si 3.28, 8 Hg 3.43-3.53
Ac 0.2362 0.0000 0.9095  4 Si 3.27, 6 Hg 3.50-3.56
Ac 0.7638 0.0000 0.0905  4 Si 3.27, 6 Hg 3.50-3.56
Ac 0.7991 0.0000 0.6484  2 Si 3.28, 8 Hg 3.43-3.53
Si 0.0617 0.5000 0.1178  1 Si 2.39
Si 0.9383 0.5000 0.8822  1 Si 2.39
Hg 0.1378 0.5000 0.6286  1 Si 2.87, 1 Hg 3.17
Hg 0.4341 0.5000 0.1587  1 Si 3.02, 2 Hg 3.15-3.21
Hg 0.5000 0.5000 0.5000  4 Hg 3.17-3.21, 4 Ac 3.53
Hg 0.5659 0.5000 0.8413  1 Si 3.02, 2 Hg 3.15-3.21
Hg 0.8622 0.5000 0.3714  1 Si 2.87, 1 Hg 3.17

magnetic moment	0.00	Bohr magnetons per cell
ΔE_f (raw)	-471	meV/atom